Below is a relaxed structure of CsRb2VO4, with properties calculated at the PBE+U level.

a b c (Å): 8.4779 7.0828 6.5459
angles (deg): 90.00 90.00 90.00
Last column: nearest neighbours and their distance in Å.
Space group Pmn2_1 (No. 31)
Symmetry-distinct sites (fractional):
Cs1 0.0000 0.1191 0.0000 (multiplicity 2)  3 O 2.92-3.08
Rb1 0.2374 0.3365 0.5119 (multiplicity 4)  4 O 2.75-2.83
V1 0.0000 0.8130 0.5271 (multiplicity 2)  4 O 1.75-1.76
O1 0.0000 0.0597 0.5003 (multiplicity 2)  1 V 1.76
O2 0.0000 0.7565 0.7876 (multiplicity 2)  1 V 1.75
O3 0.1702 0.7170 0.4150 (multiplicity 4)  1 V 1.76

Properties
The density of states at the Fermi level comes out at 0.000 states/eV per atom. As for the total magnetization: 0.3 μB per cell. The calculation puts the electronic total energy at -0.416 Ry per atom.